1.
An optimized crystal structure of BC2. Source: Alexandria via LeMat-Bulk, functional PBE.

Its energy relative to the elements is 0.28 eV/atom. The calculation puts the density of states at the Fermi level at 1.375 states/eV per cell. The energy relative to the lowest polymorph listed for this composition comes out at 0.13 eV/f.u. The magnetization comes out at 0.00 μB/f.u.

It has space group P2/m (No. 10), with a = 4.6214 Å, b = 2.6026 Å, c = 6.3784 Å, α = 90.00°, β = 95.61° and γ = 90.00°. Symmetry generates all atoms from B at (0.0137, 0.0000, 0.3462), B at (0.3037, 0.0000, 0.9406), C at (0.1631, 0.5000, 0.0443), C at (0.1884, 0.5000, 0.2807), C at (0.3387, 0.0000, 0.6884) and C at (0.4951, 0.5000, 0.6225).



2.
An optimized crystal structure of Li2NiPS4. Source: Alexandria via LeMat-Bulk, functional PBE.

The calculation puts the density of states at the Fermi level at 11.896 states/eV per cell. The formation energy from raw total energies comes out at -5.1 eV per formula unit. The magnetization comes out at 1.00 μB/f.u.

It has space group I-4 (No. 82), with a = 5.5626 Å, b = 5.5626 Å, c = 9.6612 Å, α = 90.00°, β = 90.00° and γ = 90.00°. Symmetry generates all atoms from Li at (0.0000, 0.0000, 0.0000), Li at (0.0000, 0.5000, 0.2500), Ni at (0.0000, 0.0000, 0.5000), P at (0.0000, 0.5000, 0.7500) and S at (0.2030, 0.7302, 0.6261).



3.
An optimized crystal structure of AsOsCl2. Source: Alexandria via LeMat-Bulk, functional PBE.

The calculation puts the density of states at the Fermi level at 2.609 states/eV per cell. The formation energy from raw total energies comes out at 0.6 eV per formula unit. The energy relative to the lowest polymorph listed for this composition comes out at 0.89 eV/f.u. The magnetization comes out at 0.36 μB/f.u.

It has space group Pm (No. 6), with a = 4.4920 Å, b = 3.1250 Å, c = 7.4242 Å, α = 90.00°, β = 105.81° and γ = 90.00°. Symmetry generates all atoms from As at (0.0000, 0.0000, 0.0000), Os at (0.6345, 0.5000, 0.0564), Cl at (0.3513, 0.5000, 0.7466) and Cl at (0.6566, 0.0000, 0.3259).



4.
An optimized crystal structure of Pm2AgS3. Source: Alexandria via LeMat-Bulk, functional PBE.

The calculation puts the density of states at the Fermi level at 2.940 states/eV per cell. The formation energy from raw total energies comes out at -8.8 eV per formula unit. The magnetization comes out at 0.00 μB/f.u.

It has space group Immm (No. 71), with a = 3.7175 Å, b = 4.6099 Å, c = 15.8241 Å, α = 90.00°, β = 90.00° and γ = 90.00°. Symmetry generates all atoms from Pm at (0.0000, 0.0000, 0.1427), Ag at (0.0000, 0.0000, 0.5000), S at (0.0000, 0.0000, 0.3215) and S at (0.0000, 0.5000, 0.5000).



5.
An optimized crystal structure of AlSb2Te. Source: Alexandria via LeMat-Bulk, functional PBE.

The calculation puts the density of states at the Fermi level at 4.858 states/eV per cell. The formation energy from raw total energies comes out at 0.7 eV per formula unit. The energy relative to the lowest polymorph listed for this composition comes out at 1.04 eV/f.u. The magnetization comes out at 0.00 μB/f.u.

It has space group R-3m (No. 166, hexagonal axes), with a = 3.3021 Å, b = 3.3021 Å, c = 34.7008 Å, α = 90.00°, β = 90.00° and γ = 120.00°. Symmetry generates all atoms from Al at (0.0000, 0.0000, 0.0000), Sb at (0.0000, 0.0000, 0.2697) and Te at (0.0000, 0.0000, 0.5000).



6.
An optimized crystal structure of Rb2PPd. Source: Alexandria via LeMat-Bulk, functional PBE.

Its energy relative to the elements is -0.28 eV/atom. The calculation puts the density of states at the Fermi level at 8.541 states/eV per cell. The magnetization comes out at 0.00 μB/f.u.

It has space group I-42d (No. 122), with a = 12.9846 Å, b = 12.9846 Å, c = 4.4687 Å, α = 90.00°, β = 90.00° and γ = 90.00°. Symmetry generates all atoms from Rb at (0.0379, 0.2500, 0.1250), P at (0.0000, 0.0000, 0.0000) and Pd at (0.0000, 0.0000, 0.5000).



7.
An optimized crystal structure of HPtI2. Source: Alexandria via LeMat-Bulk, functional PBE.

The calculation puts the density of states at the Fermi level at 2.881 states/eV per cell. The energy relative to the lowest polymorph listed for this composition comes out at 0.00 eV/f.u. The magnetization comes out at 0.01 μB/f.u.

It has space group P-1 (No. 2), with a = 4.0287 Å, b = 4.8137 Å, c = 5.9119 Å, α = 85.13°, β = 89.82° and γ = 65.47°. Symmetry generates all atoms from H at (0.0000, 0.0000, 0.0000), Pt at (0.5000, 0.0000, 0.5000) and I at (0.1284, 0.7314, 0.7559).



8.
An optimized crystal structure of LaTbDyTe3. Source: Alexandria via LeMat-Bulk, functional PBE.

The calculation puts the density of states at the Fermi level at 9.212 states/eV per cell. The formation energy from raw total energies comes out at -7.8 eV per formula unit. The magnetization comes out at 0.00 μB/f.u.

It has space group P2_1/m (No. 11), with a = 8.6187 Å, b = 4.3589 Å, c = 10.8512 Å, α = 90.00°, β = 105.93° and γ = 90.00°. Symmetry generates all atoms from La at (0.1876, 0.2500, 0.2181), Tb at (0.3372, 0.7500, 0.9073), Dy at (0.1538, 0.2500, 0.6219), Te at (0.0896, 0.2500, 0.8923), Te at (0.2240, 0.7500, 0.4529) and Te at (0.4830, 0.7500, 0.2037).



9.
An optimized crystal structure of TlRh2F. Source: Alexandria via LeMat-Bulk, functional PBE.

The calculation puts the density of states at the Fermi level at 17.749 states/eV per cell. The formation energy from raw total energies comes out at -0.3 eV per formula unit. The energy relative to the lowest polymorph listed for this composition comes out at 0.00 eV/f.u. The magnetization comes out at 1.33 μB/f.u.

It has space group I-42d (No. 122), with a = 3.6750 Å, b = 3.6750 Å, c = 20.3234 Å, α = 90.00°, β = 90.00° and γ = 90.00°. Symmetry generates all atoms from Tl at (0.0000, 0.0000, 0.0000), Rh at (0.2437, 0.2500, 0.6250) and F at (0.0000, 0.0000, 0.5000).



10.
An optimized crystal structure of Ba2Be. Source: Alexandria via LeMat-Bulk, functional PBE.

Its energy relative to the elements is 0.36 eV/atom. The calculation puts the density of states at the Fermi level at 14.478 states/eV per cell. The energy relative to the lowest polymorph listed for this composition comes out at 0.01 eV/f.u. The magnetization comes out at 0.00 μB/f.u.

It has space group Cmcm (No. 63), with a = 15.0364 Å, b = 5.6992 Å, c = 5.7102 Å, α = 90.00°, β = 90.00° and γ = 90.00°. Symmetry generates all atoms from Ba at (0.1228, 0.2499, 0.2500) and Be at (0.0000, 0.2505, 0.7500).



11.
An optimized crystal structure of Tm3SO3. Source: Alexandria via LeMat-Bulk, functional PBE.

The formation energy from raw total energies comes out at -22.1 eV per formula unit. The magnetization comes out at 0.00 μB/f.u.

It has space group R-3 (No. 148, hexagonal axes), with a = 6.4496 Å, b = 6.4496 Å, c = 19.4101 Å, α = 90.00°, β = 90.00° and γ = 120.00°. Symmetry generates all atoms from Tm at (0.0004, 0.3326, 0.4064), S at (0.0000, 0.0000, 0.1668) and O at (0.0008, 0.3318, 0.6227).



12.
An optimized crystal structure of Tb5Tl2Ni. Source: Alexandria via LeMat-Bulk, functional PBE.

Its energy relative to the elements is 0.07 eV/atom. The calculation puts the density of states at the Fermi level at 45.402 states/eV per cell. The energy relative to the lowest polymorph listed for this composition comes out at 2.89 eV/f.u. The magnetization comes out at 0.00 μB/f.u.

It has space group Cmcm (No. 63), with a = 5.3177 Å, b = 16.6612 Å, c = 12.4728 Å, α = 90.00°, β = 90.00° and γ = 90.00°. Symmetry generates all atoms from Tb at (0.0000, 0.0810, 0.1028), Tb at (0.0000, 0.2890, 0.7500), Tb at (0.0000, 0.2998, 0.0750), Tl at (0.0000, 0.1076, 0.6337) and Ni at (0.0000, 0.1967, 0.2500).